Li3Zn2Ga2 | PBE-GGA | relaxed

Properties
* space-group type: No. 12

a = 4.361 Å, b = 4.365 Å, c = 6.837 Å
α = 108.35°, β = 90.00°, γ = 119.97°
Element x y z (fractional)
Li  0.500  0.000  0.000
Li  0.642  0.284  0.427
Li  0.358  0.716  0.573
Zn  0.779  0.557  0.837
Zn  0.221  0.443  0.163
Ga  0.925  0.849  0.276
Ga  0.075  0.151  0.724

=====

La3Sn5Au6 | PBE-GGA | relaxed

Properties
* space-group type: No. 59

a = 4.697 Å, b = 10.356 Å, c = 13.876 Å
α = 90.00°, β = 90.00°, γ = 90.00°
Element x y z (fractional)
La  0.000  0.245  0.686
La  0.500  0.755  0.186
La  0.500  0.755  0.814
La  0.000  0.243  0.000
La  0.500  0.757  0.500
La  0.000  0.245  0.314
Sn  0.000  0.524  0.861
Sn  0.000  0.879  0.662
Sn  0.000  0.776  0.000
Sn  0.500  0.476  0.639
Sn  0.500  0.224  0.500
Sn  0.000  0.524  0.139
Sn  0.500  0.476  0.361
Sn  0.000  0.879  0.338
Sn  0.500  0.121  0.838
Sn  0.500  0.121  0.162
Au  0.000  0.977  0.854
Au  0.500  0.023  0.646
Au  0.500  0.383  0.836
Au  0.500  0.561  0.000
Au  0.000  0.439  0.500
Au  0.000  0.617  0.664
Au  0.000  0.617  0.336
Au  0.500  0.961  0.000
Au  0.000  0.977  0.146
Au  0.500  0.383  0.164
Au  0.000  0.039  0.500
Au  0.500  0.023  0.354

=====

YMoRh2 | PBE-GGA | relaxed

Properties
* space-group type: No. 122

a = 7.319 Å, b = 7.319 Å, c = 5.926 Å
α = 51.86°, β = 51.86°, γ = 90.00°
Element x y z (fractional)
Y  0.500  0.500  0.000
Y  0.250  0.750  0.500
Mo  0.000  0.000  0.000
Mo  0.750  0.250  0.500
Rh  0.672  0.125  0.250
Rh  0.078  0.625  0.250
Rh  0.375  0.328  0.750
Rh  0.875  0.922  0.750

=====

Li5Sn8Rh | PBE-GGA | relaxed

Properties
* space-group type: No. 82

a = 7.399 Å, b = 7.399 Å, c = 7.399 Å
α = 110.44°, β = 107.56°, γ = 110.44°
Element x y z (fractional)
Li  0.935  0.391  0.112
Li  0.888  0.822  0.278
Li  0.722  0.609  0.544
Li  0.500  0.000  0.500
Li  0.456  0.178  0.065
Sn  0.100  0.745  0.990
Sn  0.010  0.110  0.755
Sn  0.824  0.241  0.411
Sn  0.589  0.413  0.829
Sn  0.417  0.587  0.176
Sn  0.646  0.890  0.900
Sn  0.245  0.255  0.354
Sn  0.171  0.759  0.583
Rh  0.250  0.500  0.750

=====

Number 1: DFT formation energy -1.87 eV/f.u., magnetic moment 0.00 μB per formula unit, D(E_F) 0.213 states/eV/atom. Number 2: DFT formation energy -9.26 eV/f.u., magnetic moment 0.00 μB per formula unit, D(E_F) 0.459 states/eV/atom. Number 3: DFT formation energy 0.19 eV/f.u., magnetic moment 0.00 μB per formula unit, D(E_F) 1.314 states/eV/atom. Number 4: DFT formation energy -3.35 eV/f.u., magnetic moment 0.00 μB per formula unit, D(E_F) 0.288 states/eV/atom.